Record 1
An optimized crystal structure of La6Tl2RuO. Source: Alexandria via LeMat-Bulk, functional PBE.

**Final energy**: -5.6034 eV per atom

Unit cell a=7.5713 b=10.7022 c=7.5714 alpha=90.00 beta=90.00 gamma=90.00
Space group Pmmn (No. 59, origin choice 2)
Asymmetric unit:
La 0.0088 0.2500 0.0083
La 0.0086 0.2500 0.4909
La 0.2500 0.0096 0.2505
Tl 0.2500 0.0000 0.7503
Ru 0.2500 0.7500 0.2504
O 0.2500 0.2500 0.2495

---

Record 2
An optimized crystal structure of CeAu2Cl8. Source: Alexandria via LeMat-Bulk, functional PBE.

**Excess energy over the best structure of this formula in the dataset**: 0.0 kJ per mole of atoms

Unit cell a=12.2529 b=8.4093 c=7.0785 alpha=90.00 beta=99.10 gamma=90.00
Space group C2/m (No. 12)
Asymmetric unit:
Ce 0.0000 0.0000 0.0000
Au 0.2376 0.0000 0.7603
Cl 0.0810 0.5000 0.2670
Cl 0.0972 0.2033 0.7774
Cl 0.1734 0.0000 0.2503

---

Record 3
An optimized crystal structure of Rb2OsS. Source: Alexandria via LeMat-Bulk, functional PBE.

**Final energy**: -4.1725 eV per atom

Unit cell a=12.7589 b=12.7589 c=4.3706 alpha=90.00 beta=90.00 gamma=90.00
Space group I-42d (No. 122)
Asymmetric unit:
Rb 0.0409 0.2500 0.1250
Os 0.0000 0.0000 0.5000
S 0.0000 0.0000 0.0000

---

Record 4
An optimized crystal structure of CeIrN2. Source: Alexandria via LeMat-Bulk, functional PBE.

**Final energy**: -8.2125 eV per atom

Unit cell a=3.9074 b=3.9074 c=16.0635 alpha=90.00 beta=90.00 gamma=120.00
Space group R-3m (No. 166, hexagonal axes)
Asymmetric unit:
Ce 0.0000 0.0000 0.0000
Ir 0.0000 0.0000 0.5000
N 0.0000 0.0000 0.3864

---

Record 5
An optimized crystal structure of Tb5Dy3Th2. Source: Alexandria via LeMat-Bulk, functional PBE.

**Formation energy**: 0.2130 eV per atom

Unit cell a=10.7325 b=17.0663 c=8.9705 alpha=90.00 beta=126.72 gamma=90.00
Space group C2/c (No. 15)
Asymmetric unit:
Tb 0.0000 0.0294 0.2500
Tb 0.0000 0.2191 0.2500
Tb 0.0000 0.2787 0.7500
Tb 0.2483 0.1230 0.7499
Dy 0.0000 0.4682 0.7500
Dy 0.1452 0.1244 0.0401
Th 0.1361 0.3755 0.5225

---

Number 1: total moment 0.0 μB/cell, N(E_F) 10.2 states/eV/f.u.. Number 2: total moment 0.0 μB/cell, N(E_F) 6.4 states/eV/f.u.. Number 3: total moment 0.0 μB/cell, N(E_F) 2.2 states/eV/f.u.. Number 4: total moment 1.4 μB/cell, N(E_F) 4.6 states/eV/f.u.. Number 5: total moment 0.0 μB/cell, N(E_F) 15.2 states/eV/f.u..